Entry 1:
An optimized crystal structure of SrTcRh2. Source: the Alexandria database, functional PBE.

The energy is -0.45430 Ry/atom. For the energy relative to the elements, the calculation gives 0.507 eV per atom. Its total magnetization is 0.00 μB/cell. As for the energy above the most stable polymorph in this dataset: 0.366 eV per atom.

It has space group R-3m (No. 166, hexagonal axes), with a = 2.9133 Å, b = 2.9133 Å, c = 28.3654 Å, α = 90.00°, β = 90.00° and γ = 120.00°. The inequivalent atoms are Sr at (0.0000, 0.0000, 0.0000), Tc at (0.0000, 0.0000, 0.5000) and Rh at (0.0000, 0.0000, 0.2399).



Entry 2:
An optimized crystal structure of HfSbPd6. Source: the Alexandria database, functional PBE.

The energy is -0.46088 Ry/atom. Its total magnetization is 0.00 μB/cell. The uncorrected formation energy is -0.616 eV/atom. As for the energy above the most stable polymorph in this dataset: 0.000 eV per atom.

It has space group P4/mmm (No. 123), with a = 5.738 Å, b = 5.738 Å, c = 3.991 Å, α = 90.00°, β = 90.00° and γ = 90.00°. The inequivalent atoms are Hf at (0.000, 0.000, 0.000), Sb at (0.500, 0.500, 0.000), Pd at (0.000, 0.500, 0.000) and Pd at (0.244, 0.244, 0.500).



Entry 3:
An optimized crystal structure of CsCo2AgBi. Source: the Alexandria database, functional PBE.

The energy is -0.16274 Ry/atom. For the energy relative to the elements, the calculation gives 2.145 eV per atom. Its total magnetization is 2.34 μB/cell. As for the energy above the most stable polymorph in this dataset: 1.032 eV per atom.

It has space group P4/mmm (No. 123), with a = 4.666 Å, b = 4.666 Å, c = 6.545 Å, α = 90.00°, β = 90.00° and γ = 90.00°. The inequivalent atoms are Cs at (0.000, 0.000, 0.000), Co at (0.000, 0.500, 0.000), Ag at (0.500, 0.500, 0.500) and Bi at (0.000, 0.000, 0.500).



Entry 4:
An optimized crystal structure of Ba3Sr8Ac2. Source: the Alexandria database, functional PBE.

The energy is -0.14002 Ry/atom. For the energy relative to the elements, the calculation gives 0.206 eV per atom. Its total magnetization is 0.00 μB/cell.

It has space group C2/m (No. 12), with a = 25.288 Å, b = 8.495 Å, c = 6.898 Å, α = 90.00°, β = 90.04° and γ = 90.00°. The inequivalent atoms are Ba at (0.000, 0.000, 0.000), Ba at (0.000, 0.263, 0.500), Sr at (0.116, 0.271, 0.000), Sr at (0.148, 0.000, 0.499), Sr at (0.176, 0.500, 0.501) and Ac at (0.245, 0.000, 0.999).



Entry 5:
An optimized crystal structure of CrTcPt2. Source: the Alexandria database, functional PBE.

The energy is -0.60315 Ry/atom. For the energy relative to the elements, the calculation gives -0.188 eV per atom. Its total magnetization is 0.63 μB/cell. As for the energy above the most stable polymorph in this dataset: 0.000 eV per atom.

It has space group P4/mmm (No. 123), with a = 3.844 Å, b = 3.844 Å, c = 3.967 Å, α = 90.00°, β = 90.00° and γ = 90.00°. The inequivalent atoms are Cr at (0.000, 0.000, 0.000), Tc at (0.500, 0.500, 0.000) and Pt at (0.000, 0.500, 0.500).



Entry 6:
An optimized crystal structure of GdPaCoCu. Source: the Alexandria database, functional PBE.

The energy is -0.63929 Ry/atom. For the energy relative to the elements, the calculation gives -0.003 eV per atom. Its total magnetization is 29.10 μB/cell.

It has space group F-43m (No. 216), with a = 6.798 Å, b = 6.798 Å, c = 6.798 Å, α = 90.00°, β = 90.00° and γ = 90.00°. The inequivalent atoms are Gd at (0.000, 0.000, 0.000), Pa at (0.000, 0.000, 0.500), Co at (0.250, 0.250, 0.750) and Cu at (0.250, 0.250, 0.250).